Entry 1:
Crystalline InSnAu2 at its relaxed geometry. Source: the Alexandria database, functional PBE-GGA.

Values from the calculation:
DOS at the Fermi energy = 9.294 states/eV/cell
energy of formation from the pure elements = -0.055 eV per atom
final energy = -3.379 eV/atom
magnetic moment = 0.0 μB per cell

Cell lengths 7.060, 7.060, 7.060 Å; angles 90.00, 90.00, 90.00 degrees
Space group Fm-3m (No. 225)
Symmetry-distinct sites (fractional):
In 0.000 0.000 0.000
Sn 0.000 0.000 0.500
Au 0.250 0.250 0.250


Entry 2:
Crystalline Ba5Ag3H12 at its relaxed geometry. Source: the Alexandria database, functional PBE-GGA.

Values from the calculation:
DOS at the Fermi energy = 27.754 states/eV/cell
final energy = -3.105 eV/atom
magnetic moment = 0.0 μB per cell

Cell lengths 14.372, 14.372, 14.372 Å; angles 90.00, 90.00, 90.00 degrees
Space group Ia-3d (No. 230)
Symmetry-distinct sites (fractional):
Ba 0.000 0.000 0.000
Ba 0.000 0.250 0.375
Ag 0.000 0.250 0.125
H 0.030 0.060 0.330


Entry 3:
Crystalline YPW at its relaxed geometry. Source: the Alexandria database, functional PBE-GGA.

Values from the calculation:
DOS at the Fermi energy = 8.721 states/eV/cell
energy of formation from the pure elements = 0.008 eV per atom
E above lowest polymorph = 658.9 meV per atom
final energy = -8.267 eV/atom
magnetic moment = 0.0 μB per cell

Cell lengths 6.187, 6.187, 6.187 Å; angles 90.00, 90.00, 90.00 degrees
Space group F-43m (No. 216)
Symmetry-distinct sites (fractional):
Y 0.000 0.000 0.000
P 0.250 0.250 0.250
W 0.000 0.000 0.500


Entry 4:
Crystalline TmPaN at its relaxed geometry. Source: the Alexandria database, functional PBE-GGA.

Values from the calculation:
DOS at the Fermi energy = 21.306 states/eV/cell
E above lowest polymorph = 739.9 meV per atom
formation energy from raw total energies = 54 meV per atom
final energy = -7.377 eV/atom
magnetic moment = 6.3 μB per cell

Cell lengths 6.021, 6.021, 6.021 Å; angles 90.00, 90.00, 90.00 degrees
Space group F-43m (No. 216)
Symmetry-distinct sites (fractional):
Tm 0.000 0.000 0.000
Pa 0.000 0.000 0.500
N 0.250 0.250 0.750